## LaY3Hf (PBE-GGA)

Data for a geometry-optimized LaY3Hf structure.

The structure in CIF format:
```
data_LaY3Hf
_cell_length_a 5.487
_cell_length_b 5.487
_cell_length_c 5.487
_cell_angle_alpha 90.00
_cell_angle_beta 90.00
_cell_angle_gamma 90.00
_symmetry_space_group_name_H-M 'P m -3 m'
_symmetry_Int_Tables_number 221
_symmetry_space_group_name_Hall '-P 4 2 3'
loop_
_atom_site_label
_atom_site_type_symbol
_atom_site_fract_x
_atom_site_fract_y
_atom_site_fract_z
_atom_site_occupancy
La1 La 0.000 0.000 0.000 1
Y1 Y 0.000 0.000 0.500 1
Hf1 Hf 0.500 0.500 0.500 1
```

Summary:
Density of states at the Fermi level, states/eV/atom: 2.3917
Total DFT energy (no corrections), eV/atom: -5.754
Relative energy among the computed polymorphs, eV per atom: 0.5561
Magnetization, μB per formula unit: 0.00

=====

## MgB2O2 (PBE-GGA)

Data for a geometry-optimized MgB2O2 structure.

The structure in CIF format:
```
data_MgB2O2
_cell_length_a 7.434
_cell_length_b 7.434
_cell_length_c 2.489
_cell_angle_alpha 90.00
_cell_angle_beta 90.00
_cell_angle_gamma 90.00
_symmetry_space_group_name_H-M 'P 4/m b m'
_symmetry_Int_Tables_number 127
_symmetry_space_group_name_Hall '-P 4 2ab'
loop_
_atom_site_label
_atom_site_type_symbol
_atom_site_fract_x
_atom_site_fract_y
_atom_site_fract_z
_atom_site_occupancy
Mg1 Mg 0.000 0.000 0.000 1
B1 B 0.080 0.420 0.500 1
O1 O 0.147 0.353 0.000 1
```

Summary:
Uncorrected formation energy, meV/atom: -1148
Density of states at the Fermi level, states/eV/atom: 0.0000
Total DFT energy (no corrections), eV/atom: -6.121
Relative energy among the computed polymorphs, eV per atom: 0.0000
Magnetization, μB per formula unit: 0.00

=====

## MgNbSb3 (PBE-GGA)

Data for a geometry-optimized MgNbSb3 structure.

The structure in CIF format:
```
data_MgNbSb3
_cell_length_a 5.380
_cell_length_b 5.380
_cell_length_c 5.380
_cell_angle_alpha 90.00
_cell_angle_beta 90.00
_cell_angle_gamma 90.00
_symmetry_space_group_name_H-M 'P m -3 m'
_symmetry_Int_Tables_number 221
_symmetry_space_group_name_Hall '-P 4 2 3'
loop_
_atom_site_label
_atom_site_type_symbol
_atom_site_fract_x
_atom_site_fract_y
_atom_site_fract_z
_atom_site_occupancy
Mg1 Mg 0.000 0.000 0.000 1
Nb1 Nb 0.500 0.500 0.500 1
Sb1 Sb 0.000 0.500 0.500 1
```

Summary:
Uncorrected formation energy, meV/atom: 324
Density of states at the Fermi level, states/eV/atom: 0.8759
Total DFT energy (no corrections), eV/atom: -4.482
Relative energy among the computed polymorphs, eV per atom: 0.0000
Magnetization, μB per formula unit: 0.00

=====

## CaGe2 (PBE-GGA)

Data for a geometry-optimized CaGe2 structure.

The structure in CIF format:
```
data_CaGe2
_cell_length_a 4.0686
_cell_length_b 4.0686
_cell_length_c 30.1703
_cell_angle_alpha 90.00
_cell_angle_beta 90.00
_cell_angle_gamma 120.00
_symmetry_space_group_name_H-M 'R -3 m'
_symmetry_Int_Tables_number 166
_symmetry_space_group_name_Hall '-R 3 2"'
loop_
_atom_site_label
_atom_site_type_symbol
_atom_site_fract_x
_atom_site_fract_y
_atom_site_fract_z
_atom_site_occupancy
Ca1 Ca 0.0000 0.0000 0.0802 1
Ge1 Ge 0.0000 0.0000 0.1853 1
Ge2 Ge 0.0000 0.0000 0.3504 1
```

Summary:
Density of states at the Fermi level, states/eV/atom: 0.0385
Total DFT energy (no corrections), eV/atom: -4.222
Magnetization, μB per formula unit: 0.00

=====

## Ba3Sn2HgO9 (PBE-GGA)

Data for a geometry-optimized Ba3Sn2HgO9 structure.

The structure in CIF format:
```
data_Ba3Sn2HgO9
_cell_length_a 5.9874
_cell_length_b 5.9874
_cell_length_c 7.3871
_cell_angle_alpha 90.00
_cell_angle_beta 90.00
_cell_angle_gamma 120.00
_symmetry_space_group_name_H-M 'P -3 m 1'
_symmetry_Int_Tables_number 164
_symmetry_space_group_name_Hall '-P 3 2"'
loop_
_atom_site_label
_atom_site_type_symbol
_atom_site_fract_x
_atom_site_fract_y
_atom_site_fract_z
_atom_site_occupancy
Ba1 Ba 0.0000 0.0000 0.0000 1
Ba2 Ba 0.3333 0.6667 0.6558 1
Sn1 Sn 0.3333 0.6667 0.1570 1
Hg1 Hg 0.0000 0.0000 0.5000 1
O1 O 0.0000 0.5000 0.0000 1
O2 O 0.1738 0.3476 0.3284 1
```

Summary:
Uncorrected formation energy, meV/atom: -1743
Density of states at the Fermi level, states/eV/atom: 0.4176
Total DFT energy (no corrections), eV/atom: -5.656
Magnetization, μB per formula unit: 0.00

=====

## Ba2CuPbS (PBE-GGA)

Data for a geometry-optimized Ba2CuPbS structure.

The structure in CIF format:
```
data_Ba2CuPbS
_cell_length_a 6.186
_cell_length_b 6.186
_cell_length_c 4.768
_cell_angle_alpha 90.00
_cell_angle_beta 90.00
_cell_angle_gamma 90.00
_symmetry_space_group_name_H-M 'P 4/m m m'
_symmetry_Int_Tables_number 123
_symmetry_space_group_name_Hall '-P 4 2'
loop_
_atom_site_label
_atom_site_type_symbol
_atom_site_fract_x
_atom_site_fract_y
_atom_site_fract_z
_atom_site_occupancy
Ba1 Ba 0.000 0.500 0.000 1
Cu1 Cu 0.000 0.000 0.000 1
Pb1 Pb 0.000 0.000 0.500 1
S1 S 0.500 0.500 0.500 1
```

Summary:
Uncorrected formation energy, meV/atom: -420
Density of states at the Fermi level, states/eV/atom: 0.7548
Total DFT energy (no corrections), eV/atom: -3.576
Magnetization, μB per formula unit: 0.00

=====

## Y3HfGe (PBE-GGA)

Data for a geometry-optimized Y3HfGe structure.

The structure in CIF format:
```
data_Y3HfGe
_cell_length_a 5.426
_cell_length_b 5.426
_cell_length_c 5.426
_cell_angle_alpha 90.00
_cell_angle_beta 90.00
_cell_angle_gamma 90.00
_symmetry_space_group_name_H-M 'P m -3 m'
_symmetry_Int_Tables_number 221
_symmetry_space_group_name_Hall '-P 4 2 3'
loop_
_atom_site_label
_atom_site_type_symbol
_atom_site_fract_x
_atom_site_fract_y
_atom_site_fract_z
_atom_site_occupancy
Y1 Y 0.000 0.000 0.500 1
Hf1 Hf 0.500 0.500 0.500 1
Ge1 Ge 0.000 0.000 0.000 1
```

Summary:
Density of states at the Fermi level, states/eV/atom: 1.1814
Total DFT energy (no corrections), eV/atom: -6.543
Relative energy among the computed polymorphs, eV per atom: 0.0000
Magnetization, μB per formula unit: 3.46

=====

## NdPaIrRh (PBE-GGA)

Data for a geometry-optimized NdPaIrRh structure.

The structure in CIF format:
```
data_NdPaIrRh
_cell_length_a 4.118
_cell_length_b 3.784
_cell_length_c 11.599
_cell_angle_alpha 90.00
_cell_angle_beta 90.00
_cell_angle_gamma 90.00
_symmetry_space_group_name_H-M 'A m m 2'
_symmetry_Int_Tables_number 38
loop_
_symmetry_equiv_pos_as_xyz
'x,y,z'
'-x,-y,z'
'-x,y,z'
'x,-y,z'
'x,y+1/2,z+1/2'
'-x,-y+1/2,z+1/2'
'-x,y+1/2,z+1/2'
'x,-y+1/2,z+1/2'
loop_
_atom_site_label
_atom_site_type_symbol
_atom_site_fract_x
_atom_site_fract_y
_atom_site_fract_z
_atom_site_occupancy
Nd1 Nd 0.000 0.000 0.000 1
Pa1 Pa 0.500 0.000 0.733 1
Ir1 Ir 0.000 0.000 0.257 1
Rh1 Rh 0.500 0.000 0.433 1
```

Summary:
Density of states at the Fermi level, states/eV/atom: 0.5933
Total DFT energy (no corrections), eV/atom: -8.399
Relative energy among the computed polymorphs, eV per atom: 0.0000
Magnetization, μB per formula unit: 0.00

=====

## Ac16Ni3Ru5 (PBE-GGA)

Data for a geometry-optimized Ac16Ni3Ru5 structure.

The structure in CIF format:
```
data_Ac16Ni3Ru5
_cell_length_a 14.733
_cell_length_b 8.548
_cell_length_c 13.877
_cell_angle_alpha 90.00
_cell_angle_beta 90.19
_cell_angle_gamma 90.00
_symmetry_space_group_name_H-M 'C 1 m 1'
_symmetry_Int_Tables_number 8
loop_
_symmetry_equiv_pos_as_xyz
'x,y,z'
'x,-y,z'
'x+1/2,y+1/2,z'
'x+1/2,-y+1/2,z'
loop_
_atom_site_label
_atom_site_type_symbol
_atom_site_fract_x
_atom_site_fract_y
_atom_site_fract_z
_atom_site_occupancy
Ac1 Ac 0.000 0.000 0.000 1
Ac2 Ac 0.003 0.000 0.502 1
Ac3 Ac 0.013 0.500 0.488 1
Ac4 Ac 0.082 0.249 0.234 1
Ac5 Ac 0.165 0.000 0.736 1
Ac6 Ac 0.171 0.500 0.727 1
Ac7 Ac 0.248 0.267 0.485 1
Ac8 Ac 0.257 0.235 0.987 1
Ac9 Ac 0.334 0.500 0.231 1
Ac10 Ac 0.337 0.000 0.227 1
Ac11 Ac 0.416 0.251 0.734 1
Ac12 Ac 0.491 0.000 0.987 1
Ni1 Ni 0.086 0.250 0.614 1
Ni2 Ni 0.168 0.000 0.114 1
Ru1 Ru 0.162 0.500 0.349 1
Ru2 Ru 0.329 0.000 0.843 1
Ru3 Ru 0.338 0.500 0.614 1
Ru4 Ru 0.419 0.251 0.113 1
```

Summary:
Density of states at the Fermi level, states/eV/atom: 0.7301
Total DFT energy (no corrections), eV/atom: -5.587
Magnetization, μB per formula unit: 0.00

=====

## SrCdSe2O8 (PBE-GGA)

Data for a geometry-optimized SrCdSe2O8 structure.

The structure in CIF format:
```
data_SrCdSe2O8
_cell_length_a 5.1703
_cell_length_b 5.1703
_cell_length_c 22.5026
_cell_angle_alpha 90.00
_cell_angle_beta 90.00
_cell_angle_gamma 120.00
_symmetry_space_group_name_H-M 'R -3'
_symmetry_Int_Tables_number 148
_symmetry_space_group_name_Hall '-R 3'
loop_
_atom_site_label
_atom_site_type_symbol
_atom_site_fract_x
_atom_site_fract_y
_atom_site_fract_z
_atom_site_occupancy
Sr1 Sr 0.0000 0.0000 0.0000 1
Cd1 Cd 0.0000 0.0000 0.5000 1
Se1 Se 0.0000 0.0000 0.2511 1
O1 O 0.0000 0.0000 0.3255 1
O2 O 0.0112 0.6424 0.4374 1
```

Summary:
Uncorrected formation energy, meV/atom: -1212
Density of states at the Fermi level, states/eV/atom: 0.0000
Total DFT energy (no corrections), eV/atom: -5.314
Magnetization, μB per formula unit: 0.00

=====

## ZrGaSCl2 (PBE-GGA)

Data for a geometry-optimized ZrGaSCl2 structure.

The structure in CIF format:
```
data_ZrGaSCl2
_cell_length_a 4.783
_cell_length_b 4.783
_cell_length_c 4.878
_cell_angle_alpha 90.00
_cell_angle_beta 90.00
_cell_angle_gamma 90.00
_symmetry_space_group_name_H-M 'P 4/m m m'
_symmetry_Int_Tables_number 123
_symmetry_space_group_name_Hall '-P 4 2'
loop_
_atom_site_label
_atom_site_type_symbol
_atom_site_fract_x
_atom_site_fract_y
_atom_site_fract_z
_atom_site_occupancy
Zr1 Zr 0.000 0.000 0.000 1
Ga1 Ga 0.500 0.500 0.500 1
S1 S 0.500 0.500 0.000 1
Cl1 Cl 0.000 0.500 0.500 1
```

Summary:
Uncorrected formation energy, meV/atom: -122
Density of states at the Fermi level, states/eV/atom: 1.1434
Total DFT energy (no corrections), eV/atom: -4.002
Relative energy among the computed polymorphs, eV per atom: 0.8838
Magnetization, μB per formula unit: 2.17

=====

## AcIn2PdPt2 (PBE-GGA)

Data for a geometry-optimized AcIn2PdPt2 structure.

The structure in CIF format:
```
data_AcIn2PdPt2
_cell_length_a 5.285
_cell_length_b 5.285
_cell_length_c 11.289
_cell_angle_alpha 90.00
_cell_angle_beta 90.00
_cell_angle_gamma 90.00
_symmetry_space_group_name_H-M 'I 4/m m m'
_symmetry_Int_Tables_number 139
_symmetry_space_group_name_Hall '-I 4 2'
loop_
_atom_site_label
_atom_site_type_symbol
_atom_site_fract_x
_atom_site_fract_y
_atom_site_fract_z
_atom_site_occupancy
Ac1 Ac 0.000 0.000 0.000 1
In1 In 0.000 0.500 0.250 1
Pd1 Pd 0.000 0.000 0.500 1
Pt1 Pt 0.000 0.000 0.264 1
```

Summary:
Density of states at the Fermi level, states/eV/atom: 0.4688
Total DFT energy (no corrections), eV/atom: -4.829
Magnetization, μB per formula unit: 0.00